## Ga5Hg3O12 (PBE-GGA)

Data for an optimized crystal structure of Ga5Hg3O12.

Unit cell a=12.648 b=12.648 c=12.648 alpha=90.00 beta=90.00 gamma=90.00
Space group Ia-3d (No. 230)
Inequivalent atoms, fractional coordinates:
Ga1 0.000 0.000 0.000 x16
Ga2 0.000 0.250 0.375 x24
Hg1 0.000 0.250 0.125 x24
O1 0.026 0.043 0.650 x96

Output
- Raw formation energy: -1066.4 meV per atom

## GaHgO2 (PBE-GGA)

Data for an optimized crystal structure of GaHgO2.

Unit cell a=5.313 b=5.313 c=8.749 alpha=90.00 beta=90.00 gamma=90.00
Space group I-42d (No. 122)
Inequivalent atoms, fractional coordinates:
Ga1 0.000 0.000 0.000 x4
Hg1 0.000 0.000 0.500 x4
O1 0.144 0.250 0.125 x8

Output
- Raw formation energy: -1063.5 meV per atom
- Polymorph energy (0 for the lowest one): 44 meV/atom

## GaHgO2 (PBE-GGA)

Data for an optimized crystal structure of GaHgO2.

Unit cell a=5.888 b=5.888 c=5.888 alpha=90.00 beta=90.00 gamma=90.00
Space group Fm-3m (No. 225)
Inequivalent atoms, fractional coordinates:
Ga1 0.000 0.000 0.000 x4
Hg1 0.000 0.000 0.500 x4
O1 0.250 0.250 0.250 x8

Output
- Raw formation energy: -54.9 meV per atom
- Polymorph energy (0 for the lowest one): 1053 meV/atom

## Ga2HgOsO8 (PBE-GGA)

Data for an optimized crystal structure of Ga2HgOsO8.

Unit cell a=6.485 b=6.547 c=6.578 alpha=90.00 beta=90.00 gamma=90.00
Space group Cmmm (No. 65)
Inequivalent atoms, fractional coordinates:
Ga1 0.000 0.000 0.243 x4
Hg1 0.000 0.500 0.000 x2
Os1 0.000 0.500 0.500 x2
O1 0.000 0.298 0.297 x8
O2 0.180 0.000 0.000 x4
O3 0.206 0.000 0.500 x4

Output
- Raw formation energy: -1017.1 meV per atom

## PaGaHgO5 (PBE-GGA)

Data for an optimized crystal structure of PaGaHgO5.

Unit cell a=8.313 b=9.041 c=8.392 alpha=90.00 beta=117.92 gamma=90.00
Space group C2/c (No. 15)
Inequivalent atoms, fractional coordinates:
Pa1 0.250 0.250 0.000 x4
Ga1 0.000 0.090 0.250 x4
Hg1 0.000 0.432 0.250 x4
O1 0.000 0.335 0.750 x4
O2 0.088 0.232 0.147 x8
O3 0.180 0.032 0.913 x8

Output
- Raw formation energy: -2183.2 meV per atom

## PaGaHg2O8 (PBE-GGA)

Data for an optimized crystal structure of PaGaHg2O8.

Unit cell a=6.948 b=6.948 c=7.178 alpha=90.00 beta=90.00 gamma=90.00
Space group I-4m2 (No. 119)
Inequivalent atoms, fractional coordinates:
Pa1 0.000 0.000 0.000 x2
Ga1 0.000 0.500 0.250 x2
Hg1 0.000 0.000 0.500 x2
Hg2 0.000 0.500 0.750 x2
O1 0.000 0.194 0.260 x8
O2 0.000 0.322 0.005 x8

Output
- Raw formation energy: -1023.1 meV per atom

## PaGa2HgO8 (PBE-GGA)

Data for an optimized crystal structure of PaGa2HgO8.

Unit cell a=6.902 b=6.902 c=7.012 alpha=90.00 beta=90.00 gamma=90.00
Space group I-4m2 (No. 119)
Inequivalent atoms, fractional coordinates:
Pa1 0.000 0.000 0.000 x2
Ga1 0.000 0.000 0.500 x2
Ga2 0.000 0.500 0.250 x2
Hg1 0.000 0.500 0.750 x2
O1 0.000 0.179 0.701 x8
O2 0.000 0.302 0.073 x8

Output
- Raw formation energy: -1502.0 meV per atom

## PaGaHgO6 (PBE-GGA)

Data for an optimized crystal structure of PaGaHgO6.

Unit cell a=5.3639 b=5.3639 c=4.8099 alpha=90.00 beta=90.00 gamma=120.00
Space group P312 (No. 149)
Inequivalent atoms, fractional coordinates:
Pa1 0.0000 0.0000 0.0000 x1
Ga1 0.6667 0.3333 0.5000 x1
Hg1 0.3333 0.6667 0.5000 x1
O1 0.3507 0.0312 0.7386 x6

Output
- Raw formation energy: -1694.9 meV per atom

Question: What is the raw formation energy in the seventh record?
Answer: -1502.0 meV per atom

Question: Which formula does entry 4 have?
Answer: Ga2HgOsO8

Question: Look up the raw formation energy of the sixth one.
Answer: -1023.1 meV per atom

Copy entry 6 word for word.
## PaGaHg2O8 (PBE-GGA)

Data for an optimized crystal structure of PaGaHg2O8.

Unit cell a=6.948 b=6.948 c=7.178 alpha=90.00 beta=90.00 gamma=90.00
Space group I-4m2 (No. 119)
Inequivalent atoms, fractional coordinates:
Pa1 0.000 0.000 0.000 x2
Ga1 0.000 0.500 0.250 x2
Hg1 0.000 0.000 0.500 x2
Hg2 0.000 0.500 0.750 x2
O1 0.000 0.194 0.260 x8
O2 0.000 0.322 0.005 x8

Output
- Raw formation energy: -1023.1 meV per atom